First-principles (PBE) data for crystalline BaLiAl at its relaxed geometry, as listed in Alexandria via LeMat-Bulk.

As for the symmetry: No. 107. As for the crystal system: tetragonal. For the energy above the most stable polymorph in this dataset, the calculation gives 98 meV/atom. As for the magnetization: 0.00 μB/cell. For the density of states at the Fermi level, the calculation gives 0.29 states/eV per atom.

a b c (Å): 6.6341 6.6345 3.8584
angles (deg): 73.09 73.10 33.81
With the nearest neighbours (Å) after each atom.
Fractional coordinates of all 3 atoms:
Li 0.3789 0.3789 0.6211  4 Al 2.91
Al 0.9624 0.9624 0.0376  4 Li 2.91
Ba 0.6588 0.6588 0.3412  1 Li 3.39, 5 Al 3.62-3.67

First-principles (PBE) data for crystalline HfZr2Se6 at its relaxed geometry, as listed in Alexandria via LeMat-Bulk.

As for the symmetry: No. 136. As for the crystal system: tetragonal. For the energy above the most stable polymorph in this dataset, the calculation gives 153 meV/atom. For the energy relative to the elements, uncorrected, the calculation gives -1.189 eV per atom. As for the magnetization: 0.00 μB/cell. For the density of states at the Fermi level, the calculation gives 0.09 states/eV per atom.

a b c (Å): 6.4817 6.4817 11.5077
angles (deg): 90.00 90.00 90.00
With the nearest neighbours (Å) after each atom.
Fractional coordinates of all 18 atoms:
Se 0.8016 0.1984 0.6653  1 Hf 2.63, 2 Zr 2.66-2.76
Se 0.8016 0.1984 0.3347  1 Hf 2.63, 2 Zr 2.66-2.76
Se 0.2015 0.7985 0.0000  2 Zr 2.66, 1 Hf 2.74
Se 0.6984 0.6984 0.8347  1 Hf 2.63, 2 Zr 2.66-2.76
Se 0.7985 0.2015 0.0000  2 Zr 2.66, 1 Hf 2.74
Se 0.7015 0.7015 0.5000  2 Zr 2.66, 1 Hf 2.74
Se 0.6984 0.6984 0.1653  1 Hf 2.63, 2 Zr 2.66-2.76
Se 0.1984 0.8016 0.3347  1 Hf 2.63, 2 Zr 2.66-2.76
Se 0.2985 0.2985 0.5000  2 Zr 2.66, 1 Hf 2.74
Se 0.1984 0.8016 0.6653  1 Hf 2.63, 2 Zr 2.66-2.76
Se 0.3016 0.3016 0.8347  1 Hf 2.63, 2 Zr 2.66-2.76
Se 0.3016 0.3016 0.1653  1 Hf 2.63, 2 Zr 2.66-2.76
Hf 0.0000 0.0000 0.5000  6 Se 2.63-2.74
Hf 0.5000 0.5000 0.0000  6 Se 2.63-2.74
Zr 0.5000 0.5000 0.3336  6 Se 2.66-2.76
Zr 0.0000 0.0000 0.8336  6 Se 2.66-2.76
Zr 0.0000 0.0000 0.1664  6 Se 2.66-2.76
Zr 0.5000 0.5000 0.6664  6 Se 2.66-2.76

First-principles (PBE) data for crystalline Pm2BiO at its relaxed geometry, as listed in Alexandria via LeMat-Bulk.

As for the symmetry: No. 123. As for the crystal system: tetragonal. For the energy above the most stable polymorph in this dataset, the calculation gives 748 meV/atom. For the energy relative to the elements, uncorrected, the calculation gives -1.153 eV per atom. As for the magnetization: 0.00 μB/cell. For the density of states at the Fermi level, the calculation gives 0.68 states/eV per atom.

a b c (Å): 3.3198 3.3198 7.9385
angles (deg): 90.00 90.00 90.00
With the nearest neighbours (Å) after each atom.
Fractional coordinates of all 4 atoms:
O 0.5000 0.5000 0.0000  8 Pm 2.82
Bi 0.5000 0.5000 0.5000  4 Bi 3.32, 8 Pm 3.36
Pm 0.0000 0.0000 0.1978  4 O 2.82, 1 Pm 3.14
Pm 0.0000 0.0000 0.8022  4 O 2.82, 1 Pm 3.14

First-principles (PBE) data for crystalline RhW2C2 at its relaxed geometry, as listed in Alexandria via LeMat-Bulk.

As for the symmetry: No. 139. As for the crystal system: tetragonal. For the energy above the most stable polymorph in this dataset, the calculation gives 0 meV/atom. As for the magnetization: 0.00 μB/cell. For the density of states at the Fermi level, the calculation gives 0.44 states/eV per atom.

a b c (Å): 4.1894 4.1894 4.7830
angles (deg): 64.03 64.03 90.00
With the nearest neighbours (Å) after each atom.
Fractional coordinates of all 5 atoms:
W 0.2500 0.7500 0.5000  4 C 2.11
W 0.7500 0.2500 0.5000  4 C 2.11
C 0.2841 0.2841 0.4318  4 W 2.11, 1 Rh 2.13
C 0.7159 0.7159 0.5682  4 W 2.11, 1 Rh 2.13
Rh 0.0000 0.0000 0.0000  2 C 2.13

First-principles (PBE) data for crystalline Zn2Bi5Pd12 at its relaxed geometry, as listed in Alexandria via LeMat-Bulk.

As for the uncorrected energy: -87.26 eV per cell. As for the symmetry: No. 12. As for the crystal system: monoclinic. As for the magnetization: 0.00 μB/cell. For the density of states at the Fermi level, the calculation gives 0.45 states/eV per atom.

a b c (Å): 5.5366 8.3926 9.6402
angles (deg): 113.38 90.00 109.26
With the nearest neighbours (Å) after each atom.
Fractional coordinates of all 19 atoms:
Pd 0.9012 0.3058 0.5104  4 Pd 2.75-3.03, 4 Bi 2.76-2.86
Pd 0.0988 0.6942 0.4896  4 Pd 2.75-3.03, 4 Bi 2.76-2.86
Pd 0.5954 0.6942 0.4896  4 Pd 2.75-3.03, 4 Bi 2.76-2.86
Pd 0.4960 0.9919 0.7631  2 Zn 2.66, 2 Bi 2.79-2.82
Pd 0.0823 0.6757 0.9873  1 Zn 2.52, 1 Pd 2.71, 2 Bi 2.77-2.82
Pd 0.1060 0.2120 0.2365  2 Zn 2.58, 2 Pd 2.80
Pd 0.4046 0.3058 0.5104  4 Pd 2.75-3.03, 4 Bi 2.76-2.86
Pd 0.4066 0.3243 0.0127  1 Zn 2.52, 1 Pd 2.71, 2 Bi 2.77-2.82
Pd 0.5934 0.6757 0.9873  1 Zn 2.52, 1 Pd 2.71, 2 Bi 2.77-2.82
Pd 0.5040 0.0081 0.2369  2 Zn 2.66, 2 Bi 2.79-2.82
Pd 0.9177 0.3243 0.0127  1 Zn 2.52, 1 Pd 2.71, 2 Bi 2.77-2.82
Pd 0.8940 0.7880 0.7635  2 Zn 2.58, 2 Pd 2.80
Bi 0.3105 0.6209 0.7185  9 Pd 2.79-3.02
Bi 0.6777 0.3554 0.7781  7 Pd 2.77-2.83
Bi 0.3223 0.6446 0.2219  7 Pd 2.77-2.83
Bi 0.6895 0.3791 0.2815  9 Pd 2.79-3.02
Bi 0.0000 0.0000 0.5000  4 Pd 2.76
Zn 0.7538 0.0000 0.0000  6 Pd 2.52-2.66, 2 Zn 2.73-2.81
Zn 0.2462 0.0000 0.0000  6 Pd 2.52-2.66, 2 Zn 2.73-2.81

First-principles (PBE) data for crystalline Dy6HgSe2S3 at its relaxed geometry, as listed in Alexandria via LeMat-Bulk.

As for the symmetry: No. 12. As for the crystal system: monoclinic. For the energy relative to the elements, uncorrected, the calculation gives -1.633 eV per atom. As for the magnetization: 0.00 μB/cell. For the density of states at the Fermi level, the calculation gives 0.53 states/eV per atom.

a b c (Å): 3.9440 8.2307 9.0391
angles (deg): 103.23 102.60 90.00
With the nearest neighbours (Å) after each atom.
Fractional coordinates of all 12 atoms:
S 0.1688 0.8322 0.3377  6 Dy 2.76-2.85
S 0.5000 0.5000 0.0000  6 Dy 2.74-2.76
S 0.8312 0.1678 0.6623  6 Dy 2.76-2.85
Dy 0.6704 0.0733 0.3407  3 S 2.76-2.79, 1 Hg 2.92, 2 Se 2.94
Dy 0.3393 0.4071 0.6787  3 S 2.76-2.77, 3 Se 2.91-2.92
Dy 0.9974 0.2674 0.9948  3 S 2.74-2.85, 1 Se 2.95, 2 Hg 2.96
Dy 0.0026 0.7326 0.0052  3 S 2.74-2.85, 1 Se 2.95, 2 Hg 2.96
Dy 0.3296 0.9267 0.6593  3 S 2.76-2.79, 1 Hg 2.92, 2 Se 2.94
Dy 0.6607 0.5929 0.3213  3 S 2.76-2.77, 3 Se 2.91-2.92
Hg 0.5000 0.0000 0.0000  6 Dy 2.92-2.96
Se 0.1694 0.3376 0.3388  6 Dy 2.91-2.95
Se 0.8306 0.6624 0.6612  6 Dy 2.91-2.95

First-principles (PBE) data for crystalline RbMgHg2Te at its relaxed geometry, as listed in Alexandria via LeMat-Bulk.

As for the symmetry: No. 123. As for the crystal system: tetragonal. For the energy relative to the elements, uncorrected, the calculation gives -0.386 eV per atom. As for the magnetization: 0.00 μB/cell. For the density of states at the Fermi level, the calculation gives 0.51 states/eV per atom.

a b c (Å): 5.6315 5.6315 5.7123
angles (deg): 90.00 90.00 90.00
With the nearest neighbours (Å) after each atom.
Fractional coordinates of all 5 atoms:
Hg 0.0000 0.5000 0.0000  2 Mg 2.82
Hg 0.5000 0.0000 0.0000  2 Mg 2.82
Rb 0.5000 0.5000 0.5000  4 Te 3.98, 8 Hg 4.01
Mg 0.0000 0.0000 0.0000  4 Hg 2.82, 2 Te 2.86
Te 0.0000 0.0000 0.5000  2 Mg 2.86

First-principles (PBE) data for crystalline CrAg2P at its relaxed geometry, as listed in Alexandria via LeMat-Bulk.

As for the uncorrected energy: -19.56 eV per cell. As for the symmetry: No. 8. As for the crystal system: monoclinic. As for the magnetization: 0.21 μB/cell. For the density of states at the Fermi level, the calculation gives 0.54 states/eV per atom.

a b c (Å): 4.0605 4.0605 6.0419
angles (deg): 80.11 80.11 43.01
With the nearest neighbours (Å) after each atom.
Fractional coordinates of all 4 atoms:
Ag 0.7596 0.7596 0.7211  5 Ag 2.78-2.98, 2 P 2.79, 3 Cr 2.82-2.85
Ag 0.9962 0.9962 0.0233  5 Ag 2.78-2.98, 2 Cr 2.83, 3 P 2.84-2.90
P 0.2319 0.2319 0.3385  3 Cr 2.21-2.26
Cr 0.5123 0.5123 0.4171  3 P 2.21-2.26

First-principles (PBE) data for crystalline PW at its relaxed geometry, as listed in Alexandria via LeMat-Bulk.

As for the uncorrected energy: -56.13 eV per cell. As for the symmetry: No. 8. As for the crystal system: monoclinic. As for the magnetization: 0.00 μB/cell. For the density of states at the Fermi level, the calculation gives 0.33 states/eV per atom.

a b c (Å): 5.5922 5.5922 5.6480
angles (deg): 67.58 67.58 32.29
With the nearest neighbours (Å) after each atom.
Fractional coordinates of all 6 atoms:
W 0.3618 0.3618 0.2962  5 P 2.47-2.51
W 0.6813 0.6813 0.0583  5 P 2.49-2.56
W 0.0459 0.0459 0.5005  5 P 2.45-2.57
P 0.0241 0.0241 0.9707  5 W 2.49-2.57, 2 P 2.67
P 0.6954 0.6954 0.5991  5 W 2.45-2.54, 4 P 2.67-2.69
P 0.3582 0.3582 0.7418  5 W 2.48-2.56, 2 P 2.69

First-principles (PBE) data for crystalline LaSc2Ru at its relaxed geometry, as listed in Alexandria via LeMat-Bulk.

As for the symmetry: No. 10. As for the crystal system: monoclinic. For the energy above the most stable polymorph in this dataset, the calculation gives 246 meV/atom. As for the magnetization: 0.00 μB/cell. For the density of states at the Fermi level, the calculation gives 1.27 states/eV per atom.

a b c (Å): 4.5015 3.3961 6.1927
angles (deg): 73.53 90.00 90.00
With the nearest neighbours (Å) after each atom.
Fractional coordinates of all 4 atoms:
Ru 0.5000 0.7500 0.7500  4 Sc 2.73
Sc 0.0000 0.5830 0.5432  2 Ru 2.73, 1 Sc 2.90
Sc 0.0000 0.9170 0.9568  2 Ru 2.73, 1 Sc 2.90
La 0.5000 0.2500 0.2500  2 Ru 3.08, 8 Sc 3.29-3.34, 2 La 3.40